No. 1
A relaxed structure of Pr2InSe3, computed with PBE-GGA.

Output
Raw formation energy, eV per formula unit: -7.4
E, eV/atom: -5.021

a b c (Å): 3.7935 5.2020 9.0305
angles (deg): 106.74 102.12 90.00
Positions (direct):
1 In 0.0000 0.0000 0.0000
2 Se 0.1771 0.1771 0.3541
3 Se 0.0000 0.5000 0.0000
4 Se 0.8229 0.8229 0.6459
5 Pr 0.3523 0.3523 0.7046
6 Pr 0.6477 0.6477 0.2954


No. 2
A relaxed structure of ZrGeB2, computed with PBE-GGA.

Output
DFT formation energy, eV/atom: 0.338
E, eV/atom: -6.292

a b c (Å): 5.9827 5.9827 5.2253
angles (deg): 55.08 55.08 90.00
Positions (direct):
1 Ge 0.5000 0.5000 0.0000
2 Ge 0.2500 0.7500 0.5000
3 Zr 0.7500 0.2500 0.5000
4 Zr 0.0000 0.0000 0.0000
5 B 0.1682 0.6250 0.2500
6 B 0.5818 0.1250 0.2500
7 B 0.8750 0.8318 0.7500
8 B 0.3750 0.4182 0.7500


No. 3
A relaxed structure of Tc2MoAuN, computed with PBE-GGA.

Output
Relative energy among the computed polymorphs, meV/atom: 0
Raw formation energy, eV per formula unit: 0.2
E, eV/atom: -8.601

a b c (Å): 4.0898 4.0898 4.1155
angles (deg): 90.00 90.00 90.00
Positions (direct):
1 Mo 0.0000 0.0000 0.5000
2 Tc 0.0000 0.5000 0.0000
3 Tc 0.5000 0.0000 0.0000
4 Au 0.5000 0.5000 0.5000
5 N 0.0000 0.0000 0.0000


No. 4
A relaxed structure of TmInCl6, computed with PBE-GGA.

Output
Relative energy among the computed polymorphs, meV/atom: 10
Raw formation energy, eV per formula unit: -13.0
E, eV/atom: -3.909

a b c (Å): 6.5097 6.5095 6.9940
angles (deg): 62.27 62.27 60.00
Positions (direct):
1 Tm 0.5000 0.5000 0.5000
2 Cl 0.2452 0.9085 0.2476
3 Cl 0.0915 0.4014 0.7524
4 Cl 0.5986 0.2452 0.2476
5 Cl 0.9085 0.5986 0.2476
6 Cl 0.4014 0.7548 0.7524
7 Cl 0.7548 0.0915 0.7524
8 In 0.0000 0.0000 0.0000